No. 1
Here is ReSnPtO2 after structural relaxation from the Alexandria database. Energies are from PBE.

a = 3.869 Å, b = 5.607 Å, c = 3.869 Å
α = 90.00°, β = 90.00°, γ = 90.00°
Sites, in units of the cell vectors:
Pt 0.000 0.000 0.000
Sn 0.500 0.500 0.500
O 0.000 0.000 0.500
Re 0.000 0.500 0.000
O 0.500 0.000 0.000

Computed properties:
As for the density of states at the Fermi level: 4.37 states/eV/cell. The calculation puts the total energy at -5.898 eV per atom. The space group is No. 123.

No. 2
Here is MgBeCo2 after structural relaxation from the Alexandria database. Energies are from PBE.

a = 4.642 Å, b = 4.642 Å, c = 4.642 Å
α = 144.82°, β = 126.46°, γ = 65.69°
Sites, in units of the cell vectors:
Co 0.971 0.971 0.000
Mg 0.250 0.750 0.500
Be 0.750 0.250 0.500
Co 0.529 0.529 0.000

Computed properties:
As for the density of states at the Fermi level: 4.43 states/eV/cell. The calculation puts the total energy at -4.784 eV per atom. The space group is No. 71. The formation energy comes out at 0.0991 eV/atom.

No. 3
Here is PmSn3Ir after structural relaxation from the Alexandria database. Energies are from PBE.

a = 6.418 Å, b = 8.497 Å, c = 6.469 Å
α = 131.05°, β = 103.57°, γ = 90.00°
Sites, in units of the cell vectors:
Sn 0.883 0.253 0.507
Sn 0.753 0.727 0.987
Sn 0.247 0.273 0.013
Pm 0.605 0.720 0.440
Pm 0.395 0.280 0.560
Sn 0.247 0.740 0.013
Sn 0.753 0.260 0.987
Sn 0.117 0.747 0.493
Ir 0.500 0.000 0.000
Ir 0.000 0.000 0.000

Computed properties:
As for the density of states at the Fermi level: 8.74 states/eV/cell. The calculation puts the total energy at -5.462 eV per atom. The space group is No. 12. The formation energy comes out at -0.3376 eV/atom.

No. 4
Here is Pr2Ho3Er4 after structural relaxation from the Alexandria database. Energies are from PBE.

a = 5.987 Å, b = 11.239 Å, c = 11.239 Å
α = 62.20°, β = 63.82°, γ = 63.82°
Sites, in units of the cell vectors:
Er 0.902 0.843 0.624
Er 0.402 0.624 0.843
Er 0.078 0.832 0.045
Er 0.922 0.168 0.955
Ho 0.262 0.314 0.013
Ho 0.238 0.987 0.686
Ho 0.738 0.686 0.987
Pr 0.434 0.278 0.510
Ho 0.762 0.013 0.314
Er 0.578 0.045 0.832
Pr 0.934 0.510 0.278
Er 0.598 0.376 0.157
Er 0.422 0.955 0.168
Ho 0.250 0.651 0.349
Ho 0.750 0.349 0.651
Er 0.098 0.157 0.376
Pr 0.066 0.490 0.722
Pr 0.566 0.722 0.490

Computed properties:
As for the density of states at the Fermi level: 26.33 states/eV/cell. The calculation puts the total energy at -4.517 eV per atom. The space group is No. 15. The formation energy comes out at 0.0989 eV/atom.

No. 5
Here is BaTcW after structural relaxation from the Alexandria database. Energies are from PBE.

a = 5.273 Å, b = 5.273 Å, c = 4.539 Å
α = 64.51°, β = 64.51°, γ = 50.99°
Sites, in units of the cell vectors:
Ba 0.001 0.001 0.999
W 0.371 0.371 0.629
Tc 0.627 0.627 0.373

Computed properties:
As for the density of states at the Fermi level: 3.47 states/eV/cell. The calculation puts the total energy at -6.612 eV per atom. The space group is No. 107. The formation energy comes out at 1.8022 eV/atom.

No. 6
Here is LaCr3Tc after structural relaxation from the Alexandria database. Energies are from PBE.

a = 4.405 Å, b = 4.405 Å, c = 4.405 Å
α = 90.00°, β = 90.00°, γ = 90.00°
Sites, in units of the cell vectors:
Cr 0.000 0.000 0.500
Tc 0.500 0.500 0.500
Cr 0.000 0.500 0.000
La 0.000 0.000 0.000
Cr 0.500 0.000 0.000

Computed properties:
As for the density of states at the Fermi level: 10.74 states/eV/cell. The calculation puts the total energy at -6.620 eV per atom. The space group is No. 221. The formation energy comes out at 2.2129 eV/atom.

No. 7
Here is ZrBeAsBr2 after structural relaxation from the Alexandria database. Energies are from PBE.

a = 4.504 Å, b = 4.504 Å, c = 5.160 Å
α = 90.00°, β = 90.00°, γ = 90.00°
Sites, in units of the cell vectors:
Br 0.000 0.500 0.000
As 0.000 0.000 0.500
Br 0.500 0.000 0.000
Be 0.000 0.000 0.000
Zr 0.500 0.500 0.500

Computed properties:
As for the density of states at the Fermi level: 3.60 states/eV/cell. The calculation puts the total energy at -3.932 eV per atom. The space group is No. 123.

No. 8
Here is Rb5CdPb6 after structural relaxation from the Alexandria database. Energies are from PBE.

a = 10.426 Å, b = 7.624 Å, c = 8.260 Å
α = 62.52°, β = 82.79°, γ = 74.22°
Sites, in units of the cell vectors:
Pb 0.773 0.276 0.773
Rb 0.500 0.500 0.000
Pb 0.662 0.890 0.000
Rb 0.000 0.346 0.307
Pb 0.227 0.724 0.227
Rb 0.500 0.771 0.459
Pb 0.227 0.951 0.773
Rb 0.000 0.654 0.693
Pb 0.338 0.110 0.000
Pb 0.773 0.049 0.227
Rb 0.500 0.229 0.541
Cd 0.000 0.000 0.000

Computed properties:
As for the density of states at the Fermi level: 2.10 states/eV/cell. The calculation puts the total energy at -2.409 eV per atom. The space group is No. 12. The formation energy comes out at -0.0756 eV/atom.

No. 9
Here is Ba2MgCr after structural relaxation from the Alexandria database. Energies are from PBE.

a = 9.417 Å, b = 9.417 Å, c = 7.536 Å
α = 51.33°, β = 51.33°, γ = 90.00°
Sites, in units of the cell vectors:
Ba 0.651 0.125 0.250
Ba 0.099 0.625 0.250
Ba 0.875 0.901 0.750
Cr 0.000 0.000 0.000
Mg 0.250 0.750 0.500
Cr 0.750 0.250 0.500
Mg 0.500 0.500 0.000
Ba 0.375 0.349 0.750

Computed properties:
As for the density of states at the Fermi level: 7.62 states/eV/cell. The calculation puts the total energy at -3.127 eV per atom. The space group is No. 122. The formation energy comes out at 0.6387 eV/atom.

No. 10
Here is Cs2Sr2Hg after structural relaxation from the Alexandria database. Energies are from PBE.

a = 8.863 Å, b = 8.863 Å, c = 7.981 Å
α = 90.00°, β = 90.00°, γ = 90.00°
Sites, in units of the cell vectors:
Sr 0.827 0.673 0.000
Hg 0.500 0.500 0.000
Hg 0.000 0.000 0.000
Sr 0.173 0.327 0.000
Sr 0.673 0.173 0.000
Sr 0.327 0.827 0.000
Cs 0.179 0.679 0.500
Cs 0.821 0.321 0.500
Cs 0.321 0.179 0.500
Cs 0.679 0.821 0.500

Computed properties:
As for the density of states at the Fermi level: 4.63 states/eV/cell. The calculation puts the total energy at -1.079 eV per atom. The space group is No. 127. The formation energy comes out at -0.0049 eV/atom.

No. 11
Here is CaHg5 after structural relaxation from the Alexandria database. Energies are from PBE.

a = 5.784 Å, b = 5.784 Å, c = 6.940 Å
α = 71.82°, β = 71.82°, γ = 45.12°
Sites, in units of the cell vectors:
Hg 0.972 0.972 0.556
Hg 0.639 0.639 0.720
Hg 0.638 0.638 0.228
Ca 0.972 0.972 0.056
Hg 0.306 0.306 0.883
Hg 0.306 0.306 0.391

Computed properties:
As for the density of states at the Fermi level: 2.24 states/eV/cell. The calculation puts the total energy at -0.837 eV per atom. The space group is No. 12. The formation energy comes out at -0.2523 eV/atom.

No. 12
Here is ScAsW3 after structural relaxation from the Alexandria database. Energies are from PBE.

a = 4.676 Å, b = 4.676 Å, c = 4.676 Å
α = 90.00°, β = 90.00°, γ = 90.00°
Sites, in units of the cell vectors:
W 0.000 0.500 0.000
W 0.000 0.000 0.500
Sc 0.000 0.000 0.000
As 0.500 0.500 0.500
W 0.500 0.000 0.000

Computed properties:
As for the density of states at the Fermi level: 4.01 states/eV/cell. The calculation puts the total energy at -7.445 eV per atom. The space group is No. 221. The formation energy comes out at 2.5226 eV/atom.

No. 13
Here is RbCd3Pd after structural relaxation from the Alexandria database. Energies are from PBE.

a = 5.242 Å, b = 5.242 Å, c = 7.706 Å
α = 90.00°, β = 90.00°, γ = 90.00°
Sites, in units of the cell vectors:
Pd 0.500 0.500 0.633
Rb 0.000 0.000 0.354
Cd 0.000 0.500 0.698
Cd 0.500 0.000 0.698
Cd 0.000 0.000 0.881

Computed properties:
As for the density of states at the Fermi level: 1.73 states/eV/cell. The calculation puts the total energy at -1.707 eV per atom. The space group is No. 99. The formation energy comes out at 0.0737 eV/atom.

No. 14
Here is MnRh2N after structural relaxation from the Alexandria database. Energies are from PBE.

a = 6.502 Å, b = 6.502 Å, c = 5.307 Å
α = 52.22°, β = 52.22°, γ = 90.00°
Sites, in units of the cell vectors:
Rh 0.503 0.125 0.250
Rh 0.375 0.497 0.750
Mn 0.000 0.000 0.000
Rh 0.875 0.753 0.750
N 0.500 0.500 0.000
Rh 0.247 0.625 0.250
Mn 0.750 0.250 0.500
N 0.250 0.750 0.500

Computed properties:
As for the density of states at the Fermi level: 5.21 states/eV/cell. The calculation puts the total energy at -7.773 eV per atom. The space group is No. 122.

No. 15
Here is KNa2SbF6 after structural relaxation from the Alexandria database. Energies are from PBE.

a = 6.163 Å, b = 6.162 Å, c = 6.150 Å
α = 59.91°, β = 59.90°, γ = 59.98°
Sites, in units of the cell vectors:
Na 0.532 0.532 0.404
F 0.671 0.173 0.784
K 0.796 0.796 0.612
F 0.372 0.671 0.784
F 0.911 0.627 0.209
F 0.627 0.253 0.209
F 0.173 0.372 0.784
Sb 0.310 0.310 0.070
F 0.253 0.911 0.209
Na 0.016 0.017 0.951

Computed properties:
As for the density of states at the Fermi level: 0.00 states/eV/cell. The calculation puts the total energy at -4.545 eV per atom. The space group is No. 146.

No. 16
Here is Li2TbZnHg4 after structural relaxation from the Alexandria database. Energies are from PBE.

a = 4.678 Å, b = 4.678 Å, c = 9.249 Å
α = 75.35°, β = 75.35°, γ = 60.00°
Sites, in units of the cell vectors:
Hg 0.610 0.610 0.169
Hg 0.876 0.876 0.372
Tb 0.000 0.000 0.000
Li 0.765 0.765 0.706
Hg 0.390 0.390 0.831
Hg 0.124 0.124 0.628
Zn 0.500 0.500 0.500
Li 0.235 0.235 0.294

Computed properties:
As for the density of states at the Fermi level: 3.04 states/eV/cell. The calculation puts the total energy at -1.664 eV per atom. The space group is No. 166. The formation energy comes out at -0.2969 eV/atom.

No. 17
Here is LiEuPtPb after structural relaxation from the Alexandria database. Energies are from PBE.

a = 4.967 Å, b = 4.967 Å, c = 4.967 Å
α = 60.00°, β = 60.00°, γ = 60.00°
Sites, in units of the cell vectors:
Pt 0.750 0.750 0.750
Eu 0.000 0.000 0.000
Li 0.250 0.250 0.250
Pb 0.500 0.500 0.500

Computed properties:
As for the density of states at the Fermi level: 12.82 states/eV/cell. The calculation puts the total energy at -6.034 eV per atom. The space group is No. 216. The formation energy comes out at -0.5493 eV/atom.

No. 18
Here is HoReO after structural relaxation from the Alexandria database. Energies are from PBE.

a = 3.249 Å, b = 3.249 Å, c = 8.180 Å
α = 90.00°, β = 90.00°, γ = 90.00°
Sites, in units of the cell vectors:
Ho 0.000 0.500 0.172
O 0.000 0.500 0.870
Re 0.500 0.000 0.418
O 0.500 0.000 0.130
Re 0.000 0.500 0.582
Ho 0.500 0.000 0.828

Computed properties:
As for the density of states at the Fermi level: 2.66 states/eV/cell. The calculation puts the total energy at -9.052 eV per atom. The space group is No. 129.

No. 19
Here is ZnCr2Ni after structural relaxation from the Alexandria database. Energies are from PBE.

a = 8.761 Å, b = 8.761 Å, c = 8.761 Å
α = 16.61°, β = 16.61°, γ = 16.61°
Sites, in units of the cell vectors:
Ni 0.250 0.250 0.250
Cr 0.504 0.504 0.504
Zn 0.750 0.750 0.750
Cr 0.996 0.996 0.996

Computed properties:
As for the density of states at the Fermi level: 3.94 states/eV/cell. The calculation puts the total energy at -6.351 eV per atom. The space group is No. 166. The formation energy comes out at 0.2245 eV/atom.

No. 20
Here is HoGaPb after structural relaxation from the Alexandria database. Energies are from PBE.

a = 4.459 Å, b = 4.461 Å, c = 4.461 Å
α = 120.00°, β = 90.00°, γ = 90.00°
Sites, in units of the cell vectors:
Ga 0.987 0.000 0.000
Ho 0.293 0.333 0.667
Pb 0.720 0.667 0.333

Computed properties:
As for the density of states at the Fermi level: 0.39 states/eV/cell. The calculation puts the total energy at -4.107 eV per atom. The space group is No. 156. The formation energy comes out at -0.3359 eV/atom.

No. 21
Here is Ac8PPt3Br4 after structural relaxation from the Alexandria database. Energies are from PBE.

a = 8.944 Å, b = 9.586 Å, c = 8.944 Å
α = 117.83°, β = 120.00°, γ = 90.00°
Sites, in units of the cell vectors:
Ac 0.268 0.304 0.536
Ac 0.272 0.299 0.035
Ac 0.763 0.299 0.527
Ac 0.728 0.701 0.965
Pt 0.500 0.500 0.500
Pt 0.500 0.500 0.000
Pt 0.000 0.500 0.500
Br 0.000 0.000 0.000
Ac 0.763 0.299 0.035
Br 0.000 0.000 0.500
Ac 0.237 0.701 0.473
Br 0.500 0.000 0.500
Br 0.500 0.000 0.000
Ac 0.732 0.696 0.464
P 0.000 0.500 0.000
Ac 0.237 0.701 0.965

Computed properties:
As for the density of states at the Fermi level: 10.83 states/eV/cell. The calculation puts the total energy at -5.266 eV per atom. The space group is No. 166.

No. 22
Here is LaCd2Cl after structural relaxation from the Alexandria database. Energies are from PBE.

a = 9.199 Å, b = 9.199 Å, c = 7.101 Å
α = 49.63°, β = 49.63°, γ = 90.00°
Sites, in units of the cell vectors:
Cd 0.375 0.381 0.750
La 0.000 0.000 0.000
Cd 0.619 0.125 0.250
Cl 0.250 0.750 0.500
Cl 0.500 0.500 0.000
La 0.750 0.250 0.500
Cd 0.131 0.625 0.250
Cd 0.875 0.869 0.750

Computed properties:
As for the density of states at the Fermi level: 7.52 states/eV/cell. The calculation puts the total energy at -2.696 eV per atom. The space group is No. 122.

No. 23
Here is Ba2InBiPd6 after structural relaxation from the Alexandria database. Energies are from PBE.

a = 7.238 Å, b = 7.190 Å, c = 9.112 Å
α = 51.07°, β = 50.60°, γ = 83.06°
Sites, in units of the cell vectors:
Ba 0.746 0.254 0.540
Ba 0.254 0.746 0.460
Pd 0.734 0.779 0.495
In 0.000 0.000 0.000
Pd 0.246 0.752 0.848
Pd 0.779 0.735 0.992
Pd 0.221 0.265 0.008
Pd 0.266 0.221 0.505
Pd 0.754 0.248 0.152
Bi 0.500 0.500 0.000

Computed properties:
As for the density of states at the Fermi level: 5.34 states/eV/cell. The calculation puts the total energy at -4.658 eV per atom. The space group is No. 12. The formation energy comes out at -0.4962 eV/atom.

Total magnetic moment for the records above, in order: 2.9, 1.8, 0.0, 0.0, 0.0, 0.0, 0.8, 0.0, 3.9, 0.0, 0.0, 0.0, 0.0, 4.7, 0.0, 0.0, 6.8, 0.0, 0.0, 0.0, 0.0, 0.0, 0.0 μB/f.u.